1.
{
  "formula": "Nd5Sm12Tm2",
  "functional": "PBE",
  "state": "relaxed",
  "lattice": [[-2.574, 5.136, 12.563], [2.574, -5.136, 12.563], [2.574, 5.136, -12.563]],
  "species": ["Nd", "Nd", "Nd", "Nd", "Nd", "Sm", "Sm", "Sm", "Sm", "Sm", "Sm", "Sm", "Sm", "Sm", "Sm", "Sm", "Sm", "Tm", "Tm"],
  "fractional_positions": [[0.000, 0.000, 0.000], [0.198, 0.198, 0.000], [0.302, 0.802, 0.500], [0.698, 0.198, 0.500], [0.802, 0.802, 0.000], [0.056, 0.303, 0.753], [0.099, 0.599, 0.500], [0.157, 0.903, 0.254], [0.350, 0.097, 0.254], [0.403, 0.403, 0.000], [0.449, 0.697, 0.753], [0.551, 0.303, 0.247], [0.597, 0.597, 0.000], [0.650, 0.903, 0.746], [0.843, 0.097, 0.746], [0.901, 0.401, 0.500], [0.944, 0.697, 0.247], [0.235, 0.500, 0.735], [0.765, 0.500, 0.265]],
  "relative_energy_mev_per_atom": 0,
  "space_group": "Immm, No. 71",
  "n_ef_per_ev_fu": 30.47,
  "formation_energy_mev_per_atom": 112,
  "m_tot_mub_per_fu": 0.00
}

=====

2.
{
  "formula": "Nd4Sm6Tm",
  "functional": "PBE",
  "state": "relaxed",
  "lattice": [[-3.818, 3.818, 6.782], [3.818, -3.818, 6.782], [3.818, 3.818, -6.782]],
  "species": ["Nd", "Nd", "Nd", "Nd", "Sm", "Sm", "Sm", "Sm", "Sm", "Sm", "Tm"],
  "fractional_positions": [[0.247, 0.247, 0.652], [0.405, 0.753, 0.000], [0.595, 0.595, 0.348], [0.753, 0.405, 0.000], [0.000, 0.500, 0.500], [0.040, 0.587, 0.000], [0.413, 0.413, 0.453], [0.500, 0.000, 0.500], [0.587, 0.040, 0.000], [0.960, 0.960, 0.547], [0.000, 0.000, 0.000]],
  "relative_energy_mev_per_atom": 276,
  "space_group": "I-42m, No. 121",
  "n_ef_per_ev_fu": 13.11,
  "formation_energy_mev_per_atom": 390,
  "m_tot_mub_per_fu": 0.00
}

=====

3.
{
  "formula": "Nd3Sm7Tm",
  "functional": "PBE",
  "state": "relaxed",
  "lattice": [[-2.974, 5.670, 5.677], [2.974, -5.670, 5.677], [2.974, 5.670, -5.677]],
  "species": ["Nd", "Nd", "Nd", "Sm", "Sm", "Sm", "Sm", "Sm", "Sm", "Sm", "Tm"],
  "fractional_positions": [[0.000, 0.000, 0.000], [0.211, 0.500, 0.711], [0.789, 0.500, 0.289], [0.007, 0.802, 0.205], [0.209, 0.709, 0.500], [0.403, 0.198, 0.205], [0.500, 0.500, 0.000], [0.597, 0.802, 0.795], [0.791, 0.291, 0.500], [0.993, 0.198, 0.795], [0.500, 0.000, 0.500]],
  "relative_energy_mev_per_atom": 11,
  "space_group": "Immm, No. 71",
  "n_ef_per_ev_fu": 16.30,
  "formation_energy_mev_per_atom": 246,
  "m_tot_mub_per_fu": 0.04
}

=====

4.
{
  "formula": "NdSm4Tm",
  "functional": "PBE",
  "state": "relaxed",
  "lattice": [[0.000, 4.705, 4.705], [4.705, 0.000, 4.705], [4.705, 4.705, 0.000]],
  "species": ["Nd", "Sm", "Sm", "Sm", "Sm", "Tm"],
  "fractional_positions": [[0.000, 0.000, 0.000], [0.127, 0.624, 0.624], [0.624, 0.127, 0.624], [0.624, 0.624, 0.127], [0.624, 0.624, 0.624], [0.250, 0.250, 0.250]],
  "relative_energy_mev_per_atom": 244,
  "space_group": "F-43m, No. 216",
  "n_ef_per_ev_fu": 9.59,
  "formation_energy_mev_per_atom": 260,
  "m_tot_mub_per_fu": 0.00
}

=====

5.
{
  "formula": "Nd3Sm5Tm4",
  "functional": "PBE",
  "state": "relaxed",
  "lattice": [[8.083, -2.980, 0.000], [8.083, 2.980, 0.000], [-4.108, 0.000, 8.340]],
  "species": ["Nd", "Nd", "Nd", "Sm", "Sm", "Sm", "Sm", "Sm", "Tm", "Tm", "Tm", "Tm"],
  "fractional_positions": [[0.000, 0.000, 0.000], [0.292, 0.292, 0.773], [0.708, 0.708, 0.227], [0.076, 0.076, 0.699], [0.173, 0.173, 0.387], [0.500, 0.500, 0.000], [0.827, 0.827, 0.613], [0.924, 0.924, 0.301], [0.289, 0.289, 0.125], [0.419, 0.419, 0.559], [0.581, 0.581, 0.441], [0.711, 0.711, 0.875]],
  "space_group": "C2/m, No. 12",
  "n_ef_per_ev_fu": 19.37,
  "formation_energy_mev_per_atom": 230,
  "m_tot_mub_per_fu": 0.00
}

=====

6.
{
  "formula": "NdSm2Tm4",
  "functional": "PBE",
  "state": "relaxed",
  "lattice": [[7.108, 0.000, 0.000], [-1.786, 7.748, 0.000], [-0.010, -3.252, 8.066]],
  "species": ["Nd", "Nd", "Sm", "Sm", "Sm", "Sm", "Tm", "Tm", "Tm", "Tm", "Tm", "Tm", "Tm", "Tm"],
  "fractional_positions": [[0.000, 0.000, 0.000], [0.143, 0.567, 0.855], [0.430, 0.716, 0.570], [0.569, 0.281, 0.427], [0.855, 0.430, 0.143], [0.928, 0.714, 0.570], [0.071, 0.282, 0.427], [0.215, 0.857, 0.285], [0.287, 0.142, 0.714], [0.358, 0.428, 0.143], [0.499, 0.999, 0.999], [0.641, 0.569, 0.857], [0.712, 0.856, 0.284], [0.785, 0.142, 0.713]],
  "relative_energy_mev_per_atom": 0,
  "space_group": "P1, No. 1",
  "n_ef_per_ev_fu": 9.34,
  "formation_energy_mev_per_atom": 22,
  "m_tot_mub_per_fu": 0.00
}

=====

7.
{
  "formula": "NdSm15Tm4",
  "functional": "PBE",
  "state": "relaxed",
  "lattice": [[5.098, 0.000, 0.000], [0.000, 5.098, 0.000], [0.000, 0.000, 25.419]],
  "species": ["Nd", "Sm", "Sm", "Sm", "Sm", "Sm", "Sm", "Sm", "Sm", "Sm", "Sm", "Sm", "Sm", "Sm", "Sm", "Sm", "Tm", "Tm", "Tm", "Tm"],
  "fractional_positions": [[0.000, 0.000, 0.000], [0.000, 0.500, 0.102], [0.000, 0.500, 0.301], [0.000, 0.500, 0.500], [0.000, 0.500, 0.699], [0.000, 0.500, 0.898], [0.500, 0.000, 0.102], [0.500, 0.000, 0.301], [0.500, 0.000, 0.500], [0.500, 0.000, 0.699], [0.500, 0.000, 0.898], [0.500, 0.500, 0.000], [0.500, 0.500, 0.202], [0.500, 0.500, 0.401], [0.500, 0.500, 0.599], [0.500, 0.500, 0.798], [0.000, 0.000, 0.202], [0.000, 0.000, 0.401], [0.000, 0.000, 0.599], [0.000, 0.000, 0.798]],
  "space_group": "P4/mmm, No. 123",
  "n_ef_per_ev_fu": 27.29,
  "formation_energy_mev_per_atom": 16,
  "m_tot_mub_per_fu": 0.00
}

=====

8.
{
  "formula": "Nd2Sm5Tm4",
  "functional": "PBE",
  "state": "relaxed",
  "lattice": [[11.766, -1.794, 0.000], [11.766, 1.794, 0.000], [-2.180, 0.000, 8.505]],
  "species": ["Nd", "Nd", "Sm", "Sm", "Sm", "Sm", "Sm", "Tm", "Tm", "Tm", "Tm"],
  "fractional_positions": [[0.090, 0.090, 0.223], [0.910, 0.910, 0.777], [0.000, 0.000, 0.500], [0.273, 0.273, 0.687], [0.363, 0.363, 0.406], [0.637, 0.637, 0.594], [0.727, 0.727, 0.313], [0.182, 0.182, 0.954], [0.453, 0.453, 0.136], [0.547, 0.547, 0.864], [0.818, 0.818, 0.046]],
  "relative_energy_mev_per_atom": 0,
  "space_group": "C2/m, No. 12",
  "n_ef_per_ev_fu": 15.28,
  "formation_energy_mev_per_atom": 21,
  "m_tot_mub_per_fu": 0.00
}

=====

9.
{
  "formula": "NdSm3Tm3",
  "functional": "PBE",
  "state": "relaxed",
  "lattice": [[9.614, 0.000, 0.000], [-4.807, 8.326, 0.000], [0.000, 0.000, 5.713]],
  "species": ["Nd", "Nd", "Sm", "Sm", "Sm", "Sm", "Sm", "Sm", "Tm", "Tm", "Tm", "Tm", "Tm", "Tm"],
  "fractional_positions": [[0.333, 0.667, 0.250], [0.667, 0.333, 0.750], [0.050, 0.809, 0.250], [0.191, 0.241, 0.250], [0.241, 0.050, 0.750], [0.759, 0.950, 0.250], [0.809, 0.759, 0.750], [0.950, 0.191, 0.750], [0.095, 0.618, 0.750], [0.382, 0.478, 0.750], [0.478, 0.095, 0.250], [0.522, 0.905, 0.750], [0.618, 0.522, 0.250], [0.905, 0.382, 0.250]],
  "relative_energy_mev_per_atom": 0,
  "space_group": "P6_3/m, No. 176",
  "n_ef_per_ev_fu": 12.97,
  "formation_energy_mev_per_atom": 17,
  "m_tot_mub_per_fu": 0.00
}

=====

10.
{
  "formula": "Nd5SmTm5",
  "functional": "PBE",
  "state": "relaxed",
  "lattice": [[9.476, -2.980, 0.000], [9.476, 2.980, 0.000], [-2.606, 0.000, 6.546]],
  "species": ["Nd", "Nd", "Nd", "Nd", "Nd", "Sm", "Tm", "Tm", "Tm", "Tm", "Tm"],
  "fractional_positions": [[0.000, 0.000, 0.000], [0.323, 0.323, 0.067], [0.323, 0.323, 0.579], [0.677, 0.677, 0.421], [0.677, 0.677, 0.933], [0.500, 0.500, 0.000], [0.122, 0.122, 0.623], [0.169, 0.169, 0.170], [0.500, 0.500, 0.500], [0.831, 0.831, 0.830], [0.878, 0.878, 0.377]],
  "space_group": "C2/m, No. 12",
  "n_ef_per_ev_fu": 17.63,
  "formation_energy_mev_per_atom": 261,
  "m_tot_mub_per_fu": 0.49
}

=====

11.
{
  "formula": "Nd3Sm4Tm",
  "functional": "PBE",
  "state": "relaxed",
  "lattice": [[11.688, 0.000, 0.000], [0.000, 7.363, 0.000], [0.000, 0.000, 6.361]],
  "species": ["Nd", "Nd", "Nd", "Nd", "Nd", "Nd", "Sm", "Sm", "Sm", "Sm", "Sm", "Sm", "Sm", "Sm", "Tm", "Tm"],
  "fractional_positions": [[0.000, 0.126, 0.000], [0.250, 0.124, 0.332], [0.250, 0.876, 0.832], [0.500, 0.874, 0.500], [0.750, 0.124, 0.332], [0.750, 0.876, 0.832], [0.000, 0.375, 0.502], [0.000, 0.624, 0.999], [0.247, 0.625, 0.334], [0.253, 0.375, 0.834], [0.500, 0.376, 0.499], [0.500, 0.625, 0.002], [0.747, 0.375, 0.834], [0.753, 0.625, 0.334], [0.000, 0.874, 0.499], [0.500, 0.126, 0.999]],
  "relative_energy_mev_per_atom": 0,
  "space_group": "Pmn2_1, No. 31",
  "n_ef_per_ev_fu": 14.00,
  "formation_energy_mev_per_atom": 29,
  "m_tot_mub_per_fu": 0.00
}

=====

12.
{
  "formula": "Nd4Sm3Tm",
  "functional": "PBE",
  "state": "relaxed",
  "lattice": [[23.680, 0.000, 0.000], [0.000, 3.520, 0.000], [-2.008, 0.000, 6.613]],
  "species": ["Nd", "Nd", "Nd", "Nd", "Nd", "Nd", "Nd", "Nd", "Sm", "Sm", "Sm", "Sm", "Sm", "Sm", "Tm", "Tm"],
  "fractional_positions": [[0.123, 0.000, 0.363], [0.241, 0.500, 0.239], [0.259, 0.000, 0.761], [0.377, 0.500, 0.637], [0.623, 0.500, 0.363], [0.741, 0.000, 0.239], [0.759, 0.500, 0.761], [0.877, 0.000, 0.637], [0.000, 0.000, 0.500], [0.123, 0.000, 0.883], [0.377, 0.500, 0.117], [0.500, 0.500, 0.500], [0.623, 0.500, 0.883], [0.877, 0.000, 0.117], [0.000, 0.500, 0.000], [0.500, 0.000, 0.000]],
  "relative_energy_mev_per_atom": 123,
  "space_group": "C2/m, No. 12",
  "n_ef_per_ev_fu": 13.15,
  "formation_energy_mev_per_atom": 154,
  "m_tot_mub_per_fu": 0.00
}